(1)
VASP calculation (GGA-PBE) on a relaxed structure of La2MnW.

Geometry as POSCAR:
```
La2MnW
1.0
-0.786 -2.971 -0.712
0.064 0.471 3.119
-9.693 2.611 -0.195
La W Mn
2 1 1
direct
0.000 0.000 0.509
0.000 0.000 0.991
0.500 0.500 0.750
0.500 0.500 0.250
```

V: 93 Å³/cell
energy relative to the elements: 758 meV per atom
calculated total energy: -7.2369 eV per atom
energy relative to the lowest polymorph listed for this composition: 439 meV/atom

(2)
VASP calculation (GGA-PBE) on a relaxed structure of TbNi3P2.

Geometry as POSCAR:
```
TbNi3P2
1.0
3.728 0.000 0.000
-1.864 7.165 -2.270
0.000 0.109 9.146
Ni P Tb
9 6 3
direct
0.370 0.740 0.791
0.047 0.093 0.340
0.630 0.260 0.209
0.781 0.562 0.607
0.500 0.000 0.500
0.219 0.438 0.393
0.676 0.352 0.968
0.953 0.907 0.660
0.324 0.648 0.032
0.361 0.722 0.547
0.532 0.063 0.781
0.799 0.599 0.869
0.201 0.401 0.131
0.468 0.937 0.219
0.639 0.278 0.453
0.000 0.000 0.000
0.846 0.693 0.300
0.154 0.307 0.700
```

V: 245 Å³/cell
energy relative to the elements: -931 meV per atom
calculated total energy: -6.3967 eV per atom
energy relative to the lowest polymorph listed for this composition: 0 meV/atom

(3)
VASP calculation (GGA-PBE) on a relaxed structure of Re3P.

Geometry as POSCAR:
```
Re3P
1.0
2.878 0.000 0.000
0.000 3.983 0.000
0.000 0.000 5.043
Re P
3 1
direct
0.500 0.500 0.755
0.500 0.500 0.245
0.000 0.000 0.500
0.000 0.000 0.000
```

V: 58 Å³/cell
energy relative to the elements: 236 meV per atom
calculated total energy: -10.4528 eV per atom
energy relative to the lowest polymorph listed for this composition: 357 meV/atom

(4)
VASP calculation (GGA-PBE) on a relaxed structure of La2CePr6Y.

Geometry as POSCAR:
```
La2CePr6Y
1.0
-8.094 4.593 2.798
0.048 -3.613 6.067
4.764 4.491 -1.472
Pr Y La Ce
6 1 2 1
direct
0.817 0.388 0.298
0.183 0.612 0.702
0.410 0.635 0.269
0.590 0.365 0.731
0.183 0.090 0.702
0.817 0.910 0.298
0.500 0.000 0.000
0.788 0.861 0.723
0.212 0.139 0.277
0.000 0.500 0.000
```

V: 359 Å³/cell
energy relative to the elements: 228 meV per atom
calculated total energy: -4.8653 eV per atom

(5)
VASP calculation (GGA-PBE) on a relaxed structure of NaSn2Hg3.

Geometry as POSCAR:
```
NaSn2Hg3
1.0
5.050 0.000 0.039
2.525 6.652 0.020
-0.009 0.000 9.178
Sn Hg Na
4 6 2
direct
0.333 0.335 0.500
0.000 0.000 0.000
0.000 0.000 0.500
0.667 0.665 0.500
0.167 0.662 0.240
0.829 0.338 0.240
0.502 0.000 0.755
0.498 0.000 0.245
0.833 0.338 0.760
0.171 0.662 0.760
0.662 0.676 0.000
0.338 0.324 0.000
```

V: 308 Å³/cell
energy relative to the elements: -59 meV per atom
calculated total energy: -1.7636 eV per atom
energy relative to the lowest polymorph listed for this composition: 4 meV/atom

(6)
VASP calculation (GGA-PBE) on a relaxed structure of FeSnPd5.

Geometry as POSCAR:
```
FeSnPd5
1.0
6.134 -1.782 0.103
0.256 6.382 0.103
2.383 1.715 6.040
Pd Fe Sn
10 2 2
direct
0.631 0.875 0.889
0.512 0.213 0.645
0.213 0.512 0.145
0.875 0.631 0.389
0.125 0.369 0.611
0.792 0.208 0.250
0.208 0.792 0.750
0.488 0.787 0.355
0.369 0.125 0.111
0.787 0.488 0.855
0.458 0.542 0.750
0.542 0.458 0.250
0.000 0.000 0.500
0.000 0.000 0.000
```

V: 236 Å³/cell
energy relative to the elements: -88 meV per atom
calculated total energy: -5.5782 eV per atom

(7)
VASP calculation (GGA-PBE) on a relaxed structure of Ca2SnAs.

Geometry as POSCAR:
```
Ca2SnAs
1.0
5.250 -0.892 0.199
1.834 -4.867 1.161
2.349 -2.934 -3.778
Ca As Sn
2 1 1
direct
0.250 0.250 0.250
0.750 0.750 0.750
0.000 0.000 0.000
0.500 0.500 0.500
```

V: 107 Å³/cell
energy relative to the elements: -640 meV per atom
calculated total energy: -3.8041 eV per atom
energy relative to the lowest polymorph listed for this composition: 127 meV/atom

(8)
VASP calculation (GGA-PBE) on a relaxed structure of In3BPt.

Geometry as POSCAR:
```
In3BPt
1.0
-2.446 3.926 0.705
-2.703 -2.240 3.094
2.933 1.211 3.439
Pt In B
1 3 1
direct
0.500 0.500 0.500
0.500 0.000 0.000
0.000 0.500 0.000
0.000 0.000 0.500
0.000 0.000 0.000
```

V: 102 Å³/cell
energy relative to the elements: 523 meV per atom
calculated total energy: -3.6633 eV per atom
energy relative to the lowest polymorph listed for this composition: 0 meV/atom